{
  "formula": "CeLuHgBi",
  "functional": "PBE",
  "state": "optimized geometry",
  "lattice_angstrom": [[-1.6852, 4.0258, -3.1716], [-4.9160, -0.1876, -2.2145], [-3.8624, 3.3520, 1.7184]],
  "species": ["Ce", "Lu", "Bi", "Hg"],
  "fractional_positions": [[0.0000, 0.0000, 0.0000], [0.5000, 0.5000, 0.5000], [0.2500, 0.2500, 0.2500], [0.7500, 0.7500, 0.7500]],
  "space_group": "F-43m, No. 216",
  "rho_g_cm3": 10.8,
  "ef_ev_per_atom": -0.418,
  "magnetic_moment_mub_per_atom": 0.3298,
  "dos_at_fermi_per_ev_cell": 9.84
}

=====

{
  "formula": "CeMgHgBi",
  "functional": "PBE",
  "state": "optimized geometry",
  "lattice_angstrom": [[-1.1793, -3.8430, -3.5209], [2.7355, -0.3620, -4.5763], [3.3967, -4.0531, -0.7690]],
  "species": ["Mg", "Hg", "Ce", "Bi"],
  "fractional_positions": [[0.2500, 0.2500, 0.2500], [0.5000, 0.5000, 0.5000], [0.7500, 0.7500, 0.7500], [0.0000, 0.0000, 0.0000]],
  "space_group": "F-43m, No. 216",
  "rho_g_cm3": 8.8,
  "ef_ev_per_atom": -0.351,
  "magnetic_moment_mub_per_atom": 0.2526,
  "dos_at_fermi_per_ev_cell": 7.05
}

=====

{
  "formula": "CeMgHgBi",
  "functional": "PBE",
  "state": "optimized geometry",
  "lattice_angstrom": [[-3.7895, -1.8929, -1.0156], [2.1893, -4.2464, -0.2544], [-0.9554, -0.7949, 5.0461]],
  "species": ["Mg", "Ce", "Hg", "Bi"],
  "fractional_positions": [[0.0000, 0.0000, 0.0000], [0.0000, 0.5000, 0.5000], [0.5000, 0.5000, 0.0000], [0.5000, 0.0000, 0.5000]],
  "space_group": "Pmmm, No. 47",
  "rho_g_cm3": 8.8,
  "ef_ev_per_atom": -0.432,
  "magnetic_moment_mub_per_atom": 0.2340,
  "dos_at_fermi_per_ev_cell": 6.91
}

=====

Please write out number 1 again, unchanged.
{
  "formula": "CeLuHgBi",
  "functional": "PBE",
  "state": "optimized geometry",
  "lattice_angstrom": [[-1.6852, 4.0258, -3.1716], [-4.9160, -0.1876, -2.2145], [-3.8624, 3.3520, 1.7184]],
  "species": ["Ce", "Lu", "Bi", "Hg"],
  "fractional_positions": [[0.0000, 0.0000, 0.0000], [0.5000, 0.5000, 0.5000], [0.2500, 0.2500, 0.2500], [0.7500, 0.7500, 0.7500]],
  "space_group": "F-43m, No. 216",
  "rho_g_cm3": 10.8,
  "ef_ev_per_atom": -0.418,
  "magnetic_moment_mub_per_atom": 0.3298,
  "dos_at_fermi_per_ev_cell": 9.84
}